Entry 1:
Computed, not measured: AcTb4Pm2Nd after structural relaxation at the PBE level of DFT.

Unit cell a=9.6824 b=9.6824 c=12.0105 alpha=128.33 beta=128.33 gamma=88.39
Closest atoms and distances in Å follow each position.
Positions (direct):
Ac  0.0000  0.5000  0.0000  6 Tb 3.48-3.52, 2 Pm 3.48
Ac  0.0000  0.5000  0.5000  6 Tb 3.48-3.52, 2 Pm 3.48
Tb  0.2649  0.7629  0.0138  2 Tb 3.29-3.67, 3 Pm 3.36-3.42, 1 Nd 3.39, 2 Ac 3.52
Tb  0.7371  0.2351  0.4862  2 Tb 3.29-3.67, 3 Pm 3.36-3.42, 1 Nd 3.39, 2 Ac 3.52
Tb  0.2629  0.7648  0.5138  2 Tb 3.29-3.67, 3 Pm 3.36-3.42, 1 Nd 3.39, 2 Ac 3.52
Tb  0.7352  0.2371  0.9862  2 Tb 3.29-3.67, 3 Pm 3.36-3.42, 1 Nd 3.39, 2 Ac 3.52
Tb  0.7434  0.7592  0.0023  3 Pm 3.27-3.47, 2 Nd 3.48-3.49, 1 Ac 3.48, 2 Tb 3.49
Tb  0.7408  0.7566  0.4977  3 Pm 3.27-3.47, 2 Nd 3.48-3.49, 1 Ac 3.48, 2 Tb 3.49
Tb  0.2592  0.2434  0.5023  3 Pm 3.27-3.47, 2 Nd 3.48-3.49, 1 Ac 3.48, 2 Tb 3.49
Tb  0.2566  0.2408  0.9977  3 Pm 3.27-3.47, 2 Nd 3.48-3.49, 1 Ac 3.48, 2 Tb 3.49
Pm  0.5000  0.0000  0.0000  6 Tb 3.27-3.42, 2 Ac 3.48
Pm  0.5000  0.0000  0.5000  6 Tb 3.27-3.42, 2 Ac 3.48
Pm  0.0000  0.0000  0.5000  6 Tb 3.36-3.47, 2 Pm 3.48
Pm  0.5000  0.5000  0.0000  6 Tb 3.36-3.47, 2 Pm 3.48
Nd  0.5000  0.5000  0.5000  6 Tb 3.39-3.49, 2 Nd 3.48
Nd  0.0000  0.0000  0.0000  6 Tb 3.39-3.49, 2 Nd 3.48

Properties
The value obtained for the density of states at the Fermi level is 38.32 states/eV/cell. Its symmetry is C2/c, No. 15. For the total energy, the calculation gives -0.1543 Ha/atom. The formation energy is 3.309 eV per formula unit. The total moment is 1.88 μB/cell.

Entry 2:
Computed, not measured: AcTb3PmNd after structural relaxation at the PBE level of DFT.

Unit cell a=5.7501 b=10.6306 c=7.2506 alpha=90.24 beta=90.00 gamma=105.69
Closest atoms and distances in Å follow each position.
Positions (direct):
Ac  0.3539  0.7077  0.9634  1 Nd 3.19, 2 Tb 3.37-3.49
Ac  0.6461  0.2923  0.0366  1 Nd 3.19, 2 Tb 3.37-3.49
Tb  0.8355  0.6711  0.2609  2 Nd 3.46, 2 Ac 3.61, 3 Tb 3.67-3.73
Tb  0.7805  0.5610  0.7424  3 Nd 3.32-3.60, 1 Pm 3.37, 3 Ac 3.49-3.61, 1 Tb 3.67
Tb  0.4795  0.9589  0.2645  1 Nd 3.21, 2 Pm 3.27, 1 Ac 3.37, 1 Tb 3.51
Tb  0.2195  0.4390  0.2576  3 Nd 3.32-3.60, 1 Pm 3.37, 3 Ac 3.49-3.61, 1 Tb 3.67
Tb  0.5205  0.0411  0.7355  1 Nd 3.21, 2 Pm 3.27, 1 Ac 3.37, 1 Tb 3.51
Tb  0.1645  0.3289  0.7391  2 Nd 3.46, 2 Ac 3.61, 3 Tb 3.67-3.73
Pm  0.0552  0.1104  0.2801  3 Tb 3.27-3.37
Pm  0.9448  0.8896  0.7199  3 Tb 3.27-3.37
Nd  0.6477  0.2955  0.4773  1 Ac 3.19, 4 Tb 3.21-3.46
Nd  0.3523  0.7045  0.5227  1 Ac 3.19, 4 Tb 3.21-3.46

Properties
The value obtained for the density of states at the Fermi level is 17.44 states/eV/cell. Its symmetry is C2/m, No. 12. For the total energy, the calculation gives -0.1604 Ha/atom. The formation energy is 1.334 eV per formula unit. The total moment is 0.00 μB/cell.

Entry 3:
Computed, not measured: AcTb4PmNd2 after structural relaxation at the PBE level of DFT.

Unit cell a=9.6907 b=9.6907 c=12.0216 alpha=128.33 beta=128.33 gamma=88.39
Closest atoms and distances in Å follow each position.
Positions (direct):
Ac  0.0000  0.5000  0.0000  6 Tb 3.48-3.52, 2 Nd 3.48
Ac  0.0000  0.5000  0.5000  6 Tb 3.48-3.52, 2 Nd 3.48
Tb  0.2626  0.7647  0.0137  2 Tb 3.29-3.68, 1 Pm 3.37, 3 Nd 3.39-3.43, 2 Ac 3.52
Tb  0.7352  0.2374  0.4863  2 Tb 3.29-3.68, 1 Pm 3.36, 3 Nd 3.39-3.43, 2 Ac 3.52
Tb  0.2648  0.7626  0.5137  2 Tb 3.29-3.68, 1 Pm 3.36, 3 Nd 3.39-3.43, 2 Ac 3.52
Tb  0.7374  0.2353  0.9863  2 Tb 3.29-3.68, 1 Pm 3.36, 3 Nd 3.39-3.43, 2 Ac 3.52
Tb  0.7425  0.7582  0.9993  3 Nd 3.27-3.49, 2 Pm 3.46-3.47, 1 Ac 3.48, 2 Tb 3.49
Tb  0.7417  0.7575  0.5007  3 Nd 3.27-3.49, 2 Pm 3.46-3.47, 1 Ac 3.48, 2 Tb 3.49
Tb  0.2582  0.2426  0.4993  3 Nd 3.27-3.49, 2 Pm 3.46-3.47, 1 Ac 3.48, 2 Tb 3.49
Tb  0.2574  0.2418  0.0007  3 Nd 3.27-3.49, 2 Pm 3.46-3.47, 1 Ac 3.48, 2 Tb 3.49
Pm  0.5000  0.5000  0.5000  6 Tb 3.36-3.47, 2 Pm 3.48
Pm  0.0000  0.0000  0.0000  6 Tb 3.36-3.47, 2 Pm 3.48
Nd  0.5000  0.0000  0.0000  6 Tb 3.27-3.43, 2 Ac 3.48
Nd  0.5000  0.0000  0.5000  6 Tb 3.27-3.43, 2 Ac 3.48
Nd  0.0000  0.0000  0.5000  6 Tb 3.39-3.49, 2 Nd 3.48
Nd  0.5000  0.5000  0.0000  6 Tb 3.39-3.49, 2 Nd 3.48

Properties
The value obtained for the density of states at the Fermi level is 37.86 states/eV/cell. Its symmetry is Imma, No. 74. For the total energy, the calculation gives -0.1545 Ha/atom. The formation energy is 3.287 eV per formula unit. The total moment is 1.64 μB/cell.

Entry 4:
Computed, not measured: AcTbPmNd after structural relaxation at the PBE level of DFT.

Unit cell a=5.9158 b=5.9158 c=5.9158 alpha=60.00 beta=60.00 gamma=60.00
Closest atoms and distances in Å follow each position.
Positions (direct):
Nd  0.2500  0.2500  0.2500  4 Ac 3.62, 4 Pm 3.62
Ac  0.0000  0.0000  0.0000  4 Tb 3.62, 4 Nd 3.62
Tb  0.7500  0.7500  0.7500  4 Ac 3.62, 4 Pm 3.62
Pm  0.5000  0.5000  0.5000  4 Tb 3.62, 4 Nd 3.62

Properties
The value obtained for the density of states at the Fermi level is 9.21 states/eV/cell. Its symmetry is F-43m, No. 216. For the total energy, the calculation gives -0.1626 Ha/atom. The formation energy is 0.558 eV per formula unit. The total moment is 0.00 μB/cell. The calculation puts the energy above the most stable polymorph in this dataset at 94.7 meV/atom.

Entry 5:
Computed, not measured: Ac2TbPmNd2 after structural relaxation at the PBE level of DFT.

Unit cell a=5.9502 b=7.3743 c=10.2510 alpha=90.00 beta=90.00 gamma=90.00
Closest atoms and distances in Å follow each position.
Positions (direct):
Ac  0.5000  0.0074  0.0000  6 Ac 3.69-3.93, 2 Tb 3.91, 6 Nd 3.93-3.98
Ac  0.0000  0.2573  0.1742  5 Nd 3.45-3.69, 2 Pm 3.81-3.82
Ac  0.5000  0.5074  0.0000  6 Ac 3.69-3.93, 2 Tb 3.91, 6 Nd 3.93-3.98
Ac  0.0000  0.7573  0.8258  5 Nd 3.45-3.69, 2 Pm 3.81-3.82
Tb  0.5000  0.2579  0.6638  3 Nd 3.28-3.41
Tb  0.5000  0.7579  0.3362  3 Nd 3.28-3.41
Pm  0.0000  0.0078  0.5000  2 Pm 3.69, 2 Ac 3.81-3.82, 6 Nd 3.82-3.85, 4 Tb 3.88
Pm  0.0000  0.5078  0.5000  2 Pm 3.69, 2 Ac 3.81-3.82, 6 Nd 3.82-3.85, 4 Tb 3.88
Nd  0.0000  0.2573  0.8263  2 Tb 3.41, 3 Ac 3.57-3.69, 1 Pm 3.82
Nd  0.5000  0.2579  0.3438  1 Tb 3.28, 2 Ac 3.45
Nd  0.0000  0.7573  0.1737  2 Tb 3.41, 3 Ac 3.57-3.69, 1 Pm 3.82
Nd  0.5000  0.7579  0.6562  1 Tb 3.28, 2 Ac 3.45

Properties
The value obtained for the density of states at the Fermi level is 18.39 states/eV/cell. Its symmetry is Pmma, No. 51. For the total energy, the calculation gives -0.1633 Ha/atom. The formation energy is 0.471 eV per formula unit. The total moment is 0.00 μB/cell.

Entry 6:
Computed, not measured: Ac2TbPm4Nd after structural relaxation at the PBE level of DFT.

Unit cell a=9.8693 b=9.8693 c=12.1730 alpha=128.07 beta=128.07 gamma=88.56
Closest atoms and distances in Å follow each position.
Positions (direct):
Ac  0.5000  0.0000  0.0000  6 Pm 3.57-3.60, 2 Nd 3.59
Ac  0.5000  0.0000  0.5000  6 Pm 3.57-3.60, 2 Nd 3.59
Ac  0.0000  0.0000  0.5000  2 Ac 3.59, 6 Pm 3.62-3.70
Ac  0.5000  0.5000  0.0000  2 Ac 3.59, 6 Pm 3.62-3.70
Tb  0.5000  0.5000  0.5000  6 Pm 3.28-3.38, 2 Tb 3.59
Tb  0.0000  0.0000  0.0000  6 Pm 3.28-3.38, 2 Tb 3.59
Pm  0.2214  0.7460  0.9837  1 Tb 3.28, 1 Pm 3.36, 2 Nd 3.48, 3 Ac 3.60-3.62
Pm  0.7540  0.2786  0.5163  1 Tb 3.28, 1 Pm 3.36, 2 Nd 3.48, 3 Ac 3.60-3.62
Pm  0.2460  0.7214  0.4837  1 Tb 3.28, 1 Pm 3.36, 2 Nd 3.48, 3 Ac 3.60-3.62
Pm  0.7786  0.2540  0.0163  1 Tb 3.28, 1 Pm 3.36, 2 Nd 3.48, 3 Ac 3.60-3.62
Pm  0.7576  0.7401  0.9833  1 Nd 3.33, 2 Tb 3.37-3.38, 3 Ac 3.57-3.70, 2 Pm 3.60
Pm  0.7599  0.7424  0.5167  1 Nd 3.33, 2 Tb 3.37-3.38, 3 Ac 3.57-3.70, 2 Pm 3.60
Pm  0.2401  0.2576  0.4833  1 Nd 3.33, 2 Tb 3.37-3.38, 3 Ac 3.57-3.70, 2 Pm 3.60
Pm  0.2424  0.2599  0.0167  1 Nd 3.33, 2 Tb 3.37-3.38, 3 Ac 3.57-3.70, 2 Pm 3.60
Nd  0.0000  0.5000  0.0000  6 Pm 3.33-3.48, 2 Ac 3.59
Nd  0.0000  0.5000  0.5000  6 Pm 3.33-3.48, 2 Ac 3.59

Properties
The value obtained for the density of states at the Fermi level is 36.98 states/eV/cell. Its symmetry is C2/c, No. 15. For the total energy, the calculation gives -0.1540 Ha/atom. The formation energy is 3.101 eV per formula unit. The total moment is 0.00 μB/cell.